Entry 1:
# Ac12Ga3N5

A relaxed structure of Ac12Ga3N5 (PBE-GGA, the Alexandria database).

Energy relative to the elements, uncorrected = -12.957 eV per formula unit

```
80
Lattice="-9.580 8.293 -7.567 -4.808 -13.947 0.396 1.194 5.185 13.765" Properties=species:S:1:pos:R:3 pbc="T T T"
Ga -8.839 1.638 -3.806
Ga -11.839 -2.556 -4.603
Ga -6.452 -4.110 6.063
Ga -2.548 2.274 3.320
Ga -8.685 6.809 -3.130
Ga -6.299 -4.311 0.851
Ga -6.895 3.841 5.743
Ga -4.509 -7.279 9.725
Ga -10.646 -2.744 3.275
Ga -6.742 3.640 0.532
Ga -1.355 2.086 11.198
Ga -4.355 -2.107 10.401
N -2.702 -2.897 2.644
N -2.404 -6.974 0.198
N 0.000 0.000 0.000
N -4.645 0.271 -1.018
N -4.193 6.739 3.099
N -7.194 -2.827 -3.585
N -4.356 -7.479 4.513
N -6.741 9.013 6.419
N -9.742 -0.553 -0.265
N -3.298 5.255 7.536
N -9.896 -5.724 -0.941
N -6.597 -0.235 3.297
N -4.790 4.146 -3.783
N 0.597 2.592 6.883
N -3.452 0.083 6.860
N -6.453 -9.482 0.176
N -1.807 -4.381 7.081
N -8.838 7.010 2.082
N -8.549 -0.741 7.613
N -10.492 2.428 3.951
Ac -7.246 4.307 -5.029
Ac -5.028 -2.503 3.357
Ac -10.917 4.324 -3.173
Ac -5.781 2.073 -2.257
Ac -8.176 -1.364 5.258
Ac -12.072 0.776 -4.665
Ac -6.372 -6.382 3.616
Ac -5.188 -11.335 1.197
Ac -9.634 -5.210 5.289
Ac -9.318 -1.414 -2.535
Ac -9.516 1.885 -0.544
Ac -12.133 -5.736 -5.583
Ac -3.849 -6.151 6.527
Ac -5.526 -1.965 -1.564
Ac -4.711 -9.867 5.010
Ac -3.794 4.930 5.144
Ac -1.478 -0.808 2.185
Ac -7.803 -5.032 -2.043
Ac -11.847 -4.422 -1.696
Ac -2.965 -4.309 0.641
Ac -7.469 -6.373 8.468
Ac -8.184 -1.470 1.410
Ac -11.950 -1.212 0.608
Ac -8.080 6.957 6.650
Ac -5.010 1.001 5.185
Ac -1.244 0.743 5.987
Ac -5.113 -7.427 -0.056
Ac -1.347 3.953 8.291
Ac -5.725 5.903 -1.873
Ac -10.229 3.839 5.954
Ac -5.391 4.562 8.638
Ac -9.400 -5.400 1.451
Ac -11.716 0.339 4.410
Ac -8.483 9.398 1.585
Ac -9.345 5.682 0.068
Ac -1.061 5.266 12.178
Ac -7.668 1.495 8.159
Ac -3.559 4.740 1.306
Ac -3.876 0.945 9.130
Ac -3.678 -2.355 7.139
Ac -8.006 10.865 5.398
Ac -6.822 5.913 2.979
Ac -7.413 -2.543 8.852
Ac -1.122 -1.245 11.260
Ac -5.018 0.895 1.337
Ac -2.277 -4.793 9.768
Ac -8.166 2.034 3.238
Ac -5.948 -4.777 11.624
```

=====

Entry 2:
# Pm2TmIO8

A relaxed structure of Pm2TmIO8 (PBE-GGA, the Alexandria database).

Energy relative to the elements, uncorrected = -27.433 eV per formula unit

```
12
Lattice="-3.846 -2.299 -2.495 -0.839 -2.863 4.173 -4.380 4.748 2.378" Properties=species:S:1:pos:R:3 pbc="T T T"
Pm -5.626 0.979 2.621
Pm -3.439 -1.392 1.434
Tm -2.190 2.374 1.189
I 0.000 0.000 0.000
O -2.280 -1.771 3.499
O -3.452 -3.804 1.238
O -4.234 -1.407 -0.829
O -6.785 1.358 0.556
O -5.613 3.391 2.817
O -4.831 0.994 4.884
O -5.467 -1.236 2.362
O -3.598 0.823 1.693
```

=====

Entry 3:
# ZnAgW2

A relaxed structure of ZnAgW2 (PBE-GGA, the Alexandria database).

DFT formation energy = 0.745 eV per atom

```
4
Lattice="3.387 0.000 0.000 0.000 3.387 0.000 0.000 0.000 5.632" Properties=species:S:1:pos:R:3 pbc="T T T"
Ag 1.694 1.694 4.224
W 0.000 0.000 0.186
W 0.000 0.000 2.630
Zn 1.694 1.694 1.408
```

=====

Entry 4:
# Fe2ReNi

A relaxed structure of Fe2ReNi (PBE-GGA, the Alexandria database).

DFT formation energy = 0.094 eV per atom

```
4
Lattice="-1.625 -3.348 1.564 0.562 -1.258 -2.110 4.540 -1.748 0.974" Properties=species:S:1:pos:R:3 pbc="T T T"
Fe 0.064 -0.077 -0.098
Fe 0.449 -2.411 0.514
Ni 2.478 -1.397 -0.415
Re 3.036 -3.973 -0.141
```